ScTaCl2 | PBE | relaxed

Output
Formation energy without anion corrections = -373 meV per atom
M_tot = 0.8 μB/f.u.
E_tot = -5.842 eV/atom
Energy relative to the lowest polymorph listed for this composition = 0.698 eV/atom

Unit cell a=10.694 b=10.694 c=10.694 alpha=16.93 beta=16.93 gamma=16.93
Atoms (fractional coordinates):
Sc 0.000 0.000 0.000
Ta 0.500 0.500 0.500
Cl 0.278 0.278 0.278
Cl 0.722 0.722 0.722

---

Sc2TaCl2 | PBE | relaxed

Output
Formation energy without anion corrections = 450 meV per atom
M_tot = 0.6 μB/f.u.
E_tot = -5.192 eV/atom

Unit cell a=4.670 b=4.670 c=5.464 alpha=90.00 beta=90.00 gamma=90.00
Atoms (fractional coordinates):
Sc 0.000 0.500 0.000
Sc 0.500 0.000 0.000
Ta 0.000 0.000 0.500
Cl 0.500 0.500 0.000
Cl 0.500 0.500 0.500